## CeY2Au (PBE)

Data for a relaxed CeY2Au crystal.

Computed properties:
Energy of formation   -0.220 eV/atom
Magnetization   1.2 Bohr magnetons per cell
SG   No. 166
Energy above the lowest structure with this stoichiometry   139.6 meV per atom

Lattice parameters (Å, degrees): 10.3522 10.3522 10.3522 20.21 20.21 20.21
Closest atoms and distances in Å follow each position.
Atoms (fractional coordinates):
Ce  0.0000  0.0000  0.0000  6 Y 3.59, 6 Ce 3.63
Y  0.2376  0.2376  0.2376  3 Au 3.01
Y  0.7624  0.7624  0.7624  3 Au 3.01
Au  0.5000  0.5000  0.5000  6 Y 3.01